Model P:
Here is a geometry-optimized CsTa structure from the Alexandria database. Energies are from PBE.

a b c (Å): 15.7690 4.5946 8.1398
angles (deg): 90.00 90.00 90.00
Atoms (fractional coordinates):
Cs: 0.0000 0.0029 0.0000
Cs: 0.2454 0.5002 0.7573
Cs: 0.2546 0.4998 0.2573
Cs: 0.5000 0.9971 0.5000
Cs: 0.7454 0.4998 0.2573
Cs: 0.7546 0.5002 0.7573
Ta: 0.0000 0.4998 0.4952
Ta: 0.0793 0.9999 0.4962
Ta: 0.4207 0.0001 0.9962
Ta: 0.5000 0.5002 0.9952
Ta: 0.5793 0.0001 0.9962
Ta: 0.9207 0.9999 0.4962

Calculated values
The size of the total moment comes out at 0.00 μB per cell. The calculation puts the density of states at the Fermi level at 1.31 states/eV/f.u.



Model Q:
Here is a geometry-optimized CsTa structure from the Alexandria database. Energies are from PBE.

a b c (Å): 12.7477 4.8700 11.9944
angles (deg): 90.00 90.00 90.00
Atoms (fractional coordinates):
Cs: 0.1190 0.2500 0.2170
Cs: 0.1522 0.2500 0.8659
Cs: 0.3478 0.7500 0.3659
Cs: 0.3810 0.7500 0.7170
Cs: 0.6190 0.2500 0.2830
Cs: 0.6522 0.2500 0.6341
Cs: 0.8478 0.7500 0.1341
Cs: 0.8810 0.7500 0.7830
Ta: 0.0525 0.7500 0.5145
Ta: 0.1346 0.2500 0.5476
Ta: 0.3654 0.7500 0.0476
Ta: 0.4475 0.2500 0.0145
Ta: 0.5525 0.7500 0.9855
Ta: 0.6346 0.2500 0.9524
Ta: 0.8654 0.7500 0.4524
Ta: 0.9475 0.2500 0.4855

Calculated values
The size of the total moment comes out at 0.18 μB per cell. The calculation puts the density of states at the Fermi level at 2.55 states/eV/f.u.



Model R:
Here is a geometry-optimized CsTa structure from the Alexandria database. Energies are from PBE.

a b c (Å): 14.2839 14.2839 3.2481
angles (deg): 90.00 90.00 120.00
Atoms (fractional coordinates):
Cs: 0.0481 0.6824 0.2500
Cs: 0.3176 0.3657 0.2500
Cs: 0.3657 0.0481 0.7500
Cs: 0.6343 0.9519 0.2500
Cs: 0.6824 0.6343 0.7500
Cs: 0.9519 0.3176 0.7500
Ta: 0.2283 0.5652 0.2500
Ta: 0.3369 0.7717 0.2500
Ta: 0.4348 0.6631 0.2500
Ta: 0.5652 0.3369 0.7500
Ta: 0.6631 0.2283 0.7500
Ta: 0.7717 0.4348 0.7500

Calculated values
The size of the total moment comes out at 3.81 μB per cell. The calculation puts the density of states at the Fermi level at 2.64 states/eV/f.u.



model Q wins, 73 meV/atom ahead of the next structure.



Model P:
Here is a geometry-optimized CsTaTc2 structure from the Alexandria database. Energies are from PBE.

a b c (Å): 4.7616 4.7616 4.7616
angles (deg): 60.00 60.00 60.00
Atoms (fractional coordinates):
Cs: 0.0000 0.0000 0.0000
Ta: 0.5000 0.5000 0.5000
Tc: 0.2500 0.2500 0.2500
Tc: 0.7500 0.7500 0.7500

Calculated values
The size of the total moment comes out at 0.00 μB per cell. The calculation puts the density of states at the Fermi level at 3.84 states/eV/f.u.



Model Q:
Here is a geometry-optimized CsTaTc2 structure from the Alexandria database. Energies are from PBE.

a b c (Å): 9.3995 9.3995 9.3995
angles (deg): 148.02 148.02 45.85
Atoms (fractional coordinates):
Cs: 0.0000 0.0000 0.0000
Cs: 0.7500 0.2500 0.5000
Ta: 0.2500 0.7500 0.5000
Ta: 0.5000 0.5000 0.0000
Tc: 0.3739 0.6250 0.2489
Tc: 0.3750 0.6239 0.7489
Tc: 0.3761 0.1250 0.7511
Tc: 0.8750 0.6261 0.2511

Calculated values
The size of the total moment comes out at 0.00 μB per cell. The calculation puts the density of states at the Fermi level at 5.71 states/eV/f.u.



model P wins, 124 meV/atom ahead of the next structure.



Model P:
Here is a geometry-optimized Cs4TaTe4 structure from the Alexandria database. Energies are from PBE.

a b c (Å): 8.7094 8.7094 8.7094
angles (deg): 101.15 101.15 127.83
Atoms (fractional coordinates):
Cs: 0.0792 0.7082 0.7874
Cs: 0.2918 0.0792 0.3710
Cs: 0.7082 0.9208 0.6290
Cs: 0.9208 0.2918 0.2126
Ta: 0.5000 0.5000 0.0000
Te: 0.2636 0.4219 0.6854
Te: 0.4219 0.7364 0.1583
Te: 0.5781 0.2636 0.8417
Te: 0.7364 0.5781 0.3146

Calculated values
The size of the total moment comes out at 0.97 μB per cell.



Model Q:
Here is a geometry-optimized Cs4TaTe4 structure from the Alexandria database. Energies are from PBE.

a b c (Å): 10.7841 10.7841 8.0952
angles (deg): 90.00 90.00 90.00
Atoms (fractional coordinates):
Cs: 0.0253 0.2500 0.0903
Cs: 0.2500 0.0253 0.5903
Cs: 0.2500 0.4747 0.5903
Cs: 0.4747 0.2500 0.0903
Cs: 0.5253 0.7500 0.9097
Cs: 0.7500 0.5253 0.4097
Cs: 0.7500 0.9747 0.4097
Cs: 0.9747 0.7500 0.9097
Ta: 0.2500 0.7500 0.2500
Ta: 0.7500 0.2500 0.7500
Te: 0.0402 0.7500 0.4284
Te: 0.2500 0.5402 0.0716
Te: 0.2500 0.9598 0.0716
Te: 0.4598 0.7500 0.4284
Te: 0.5402 0.2500 0.5716
Te: 0.7500 0.0402 0.9284
Te: 0.7500 0.4598 0.9284
Te: 0.9598 0.2500 0.5716

Calculated values
The size of the total moment comes out at 2.03 μB per cell. The calculation puts the density of states at the Fermi level at 5.28 states/eV/f.u.



model Q wins, 173 meV/atom ahead of the next structure.



Model P:
Here is a geometry-optimized CsTaTe3 structure from the Alexandria database. Energies are from PBE.

a b c (Å): 5.5676 5.5676 5.5676
angles (deg): 90.00 90.00 90.00
Atoms (fractional coordinates):
Cs: 0.0000 0.0000 0.0000
Ta: 0.5000 0.5000 0.5000
Te: 0.0000 0.5000 0.5000
Te: 0.5000 0.0000 0.5000
Te: 0.5000 0.5000 0.0000

Calculated values
The size of the total moment comes out at 0.00 μB per cell. The calculation puts the density of states at the Fermi level at 2.48 states/eV/f.u.



Model Q:
Here is a geometry-optimized CsTaTe3 structure from the Alexandria database. Energies are from PBE.

a b c (Å): 8.2962 8.2962 6.3695
angles (deg): 90.00 90.00 120.00
Atoms (fractional coordinates):
Cs: 0.3333 0.6667 0.0000
Cs: 0.6667 0.3333 0.5000
Ta: 0.0000 0.0000 0.2403
Ta: 0.0000 0.0000 0.7403
Te: 0.1609 0.3218 0.4971
Te: 0.1609 0.8391 0.4971
Te: 0.3218 0.1609 0.9971
Te: 0.6782 0.8391 0.4971
Te: 0.8391 0.1609 0.9971
Te: 0.8391 0.6782 0.9971

Calculated values
The size of the total moment comes out at 0.00 μB per cell. The calculation puts the density of states at the Fermi level at 1.85 states/eV/f.u.



model Q wins, 229 meV/atom ahead of the next structure.